[1]
This record from the Alexandria database describes an optimized crystal structure of KSiTe2. The functional is GGA-PBE.

```
4
Lattice="3.6835 0.0000 0.0000 0.0000 3.6835 0.0000 0.0000 0.0000 8.6441" Properties=species:S:1:pos:R:3 pbc="T T T"
K 0.0000 0.0000 0.0000
Si 0.0000 0.0000 4.3221
Te 1.8417 1.8417 2.5721
Te 1.8417 1.8417 6.0720
```

Summary:
V: 117.3 Å³ per cell
DFT total energy: -3.202 eV per atom
symmetry: P4/mmm, No. 123

=====

[2]
This record from the Alexandria database describes an optimized crystal structure of BeCrB2. The functional is GGA-PBE.

```
8
Lattice="-2.6985 2.6985 2.2142 2.6985 -2.6985 2.2142 2.6985 2.6985 -2.2142" Properties=species:S:1:pos:R:3 pbc="T T T"
Be 0.0000 0.0000 0.0000
Be 0.0000 2.6985 1.1071
Cr 2.6985 0.0000 1.1071
Cr 0.0000 0.0000 2.2142
B 1.3493 1.1894 -0.5535
B 1.5091 -1.3493 2.7677
B 1.3493 1.5091 1.6606
B 1.1894 4.0478 0.5535
```

Summary:
V: 64.5 Å³ per cell
DFT total energy: -6.218 eV per atom
symmetry: I-42d, No. 122
energy relative to the elements: 0.458 eV per atom

=====

[3]
This record from the Alexandria database describes an optimized crystal structure of SmPuSb2. The functional is GGA-PBE.

```
4
Lattice="2.2265 1.2854 7.2448 -2.2265 1.2854 7.2448 0.0000 -2.5709 7.2448" Properties=species:S:1:pos:R:3 pbc="T T T"
Sm 0.0000 0.0000 0.0000
Pu 0.0000 0.0000 10.8672
Sb 0.0000 0.0000 5.3946
Sb 0.0000 0.0000 16.3398
```

Summary:
V: 124.4 Å³ per cell
energy relative to the lowest polymorph listed for this composition: 0.0 kJ/mol of atoms
DFT total energy: -7.707 eV per atom
symmetry: R-3m, No. 166

=====

[4]
This record from the Alexandria database describes an optimized crystal structure of Ho6P5Cl. The functional is GGA-PBE.

```
12
Lattice="3.4565 -5.9731 0.0000 3.4565 5.9731 0.0000 -2.2963 0.0000 6.4932" Properties=species:S:1:pos:R:3 pbc="T T T"
Ho -0.0542 2.0901 4.8118
Ho 1.0411 0.0000 1.6795
Ho -0.0542 -2.0901 4.8118
Ho 4.6708 2.0901 1.6814
Ho 3.5755 0.0000 4.8137
Ho 4.6708 -2.0901 1.6814
P -1.1482 0.0000 3.2466
P 3.4565 3.9732 0.0000
P 2.3083 1.9325 3.2466
P 2.3083 -1.9325 3.2466
P 3.4565 -3.9732 0.0000
Cl 3.4565 0.0000 0.0000
```

Summary:
V: 268.1 Å³ per cell
DFT total energy: -6.351 eV per atom
symmetry: C2/m, No. 12

=====

[5]
This record from the Alexandria database describes an optimized crystal structure of Li4PH2. The functional is GGA-PBE.

```
7
Lattice="-2.3469 2.3469 5.3893 2.3469 -2.3469 5.3893 2.3469 2.3469 -5.3893" Properties=species:S:1:pos:R:3 pbc="T T T"
Li 2.3469 0.0000 0.0000
Li 0.0000 0.0000 2.3480
Li 0.0000 2.3469 0.0000
Li 0.0000 0.0000 8.4306
P 0.0000 0.0000 0.0000
H 0.0000 0.0000 4.1007
H 0.0000 0.0000 6.6779
```

Summary:
V: 118.7 Å³ per cell
energy relative to the lowest polymorph listed for this composition: 25.5 kJ/mol of atoms
DFT total energy: -2.843 eV per atom
symmetry: I4/mmm, No. 139

=====

[6]
This record from the Alexandria database describes an optimized crystal structure of In2TeIr. The functional is GGA-PBE.

```
4
Lattice="4.0730 0.0000 0.0000 0.0000 2.5656 5.2705 0.0000 -2.5656 5.2705" Properties=species:S:1:pos:R:3 pbc="T T T"
In 0.0000 0.0000 0.0000
In 2.0365 0.0000 3.8463
Te 2.0365 0.0000 7.3501
Ir 0.0000 0.0000 5.6540
```

Summary:
V: 110.2 Å³ per cell
DFT total energy: -4.459 eV per atom
symmetry: Amm2, No. 38

=====

[7]
This record from the Alexandria database describes an optimized crystal structure of AgTeI2N. The functional is GGA-PBE.

```
5
Lattice="5.0334 0.0000 0.0000 0.0000 5.0334 0.0000 0.0000 0.0000 4.8639" Properties=species:S:1:pos:R:3 pbc="T T T"
Ag 0.0000 0.0000 0.0000
Te 2.5167 2.5167 0.0000
I 0.0000 2.5167 2.4320
I 2.5167 0.0000 2.4320
N 2.5167 2.5167 2.4320
```

Summary:
V: 123.2 Å³ per cell
energy relative to the lowest polymorph listed for this composition: 20.2 kJ/mol of atoms
DFT total energy: -2.565 eV per atom
symmetry: P4/mmm, No. 123

=====

[8]
This record from the Alexandria database describes an optimized crystal structure of NdBiPb. The functional is GGA-PBE.

```
6
Lattice="2.3034 -8.6492 0.0000 2.3034 8.6492 0.0000 0.0000 0.0000 4.6421" Properties=species:S:1:pos:R:3 pbc="T T T"
Nd 2.3034 6.9766 3.4816
Nd 2.3034 -6.9766 1.1605
Bi 2.3034 1.2728 3.4816
Bi 2.3034 -1.2728 1.1605
Pb 2.3034 4.3239 1.1605
Pb 2.3034 -4.3239 3.4816
```

Summary:
V: 185.0 Å³ per cell
energy relative to the lowest polymorph listed for this composition: 0.0 kJ/mol of atoms
DFT total energy: -4.674 eV per atom
symmetry: Cmcm, No. 63
energy relative to the elements: -0.554 eV per atom

=====

[9]
This record from the Alexandria database describes an optimized crystal structure of Sr2HfTaBr. The functional is GGA-PBE.

```
5
Lattice="6.2554 0.0000 0.0000 0.0000 6.2554 0.0000 0.0000 0.0000 4.8458" Properties=species:S:1:pos:R:3 pbc="T T T"
Sr 0.0000 3.1277 0.0000
Sr 3.1277 0.0000 0.0000
Hf 0.0000 0.0000 2.4229
Ta 3.1277 3.1277 0.0000
Br 3.1277 3.1277 2.4229
```

Summary:
V: 189.6 Å³ per cell
DFT total energy: -4.121 eV per atom
symmetry: P4/mmm, No. 123

=====

[10]
This record from the Alexandria database describes an optimized crystal structure of LiYTc4. The functional is GGA-PBE.

```
6
Lattice="0.0000 3.7367 3.7367 3.7367 0.0000 3.7367 3.7367 3.7367 0.0000" Properties=species:S:1:pos:R:3 pbc="T T T"
Li 0.0000 0.0000 0.0000
Y 1.8683 1.8683 1.8683
Tc 4.6747 2.7986 2.7986
Tc 2.7986 4.6747 2.7986
Tc 2.7986 2.7986 4.6747
Tc 4.6747 4.6747 4.6747
```

Summary:
V: 104.3 Å³ per cell
DFT total energy: -8.163 eV per atom
symmetry: F-43m, No. 216
energy relative to the elements: 0.144 eV per atom

=====

[11]
This record from the Alexandria database describes an optimized crystal structure of Ce4HoIn. The functional is GGA-PBE.

```
12
Lattice="3.2391 -9.0606 0.0000 3.2391 9.0606 0.0000 0.0000 0.0000 5.5512" Properties=species:S:1:pos:R:3 pbc="T T T"
Ce 1.7503 3.6846 1.3878
Ce 1.4379 0.9374 1.3878
Ce 1.4379 -0.9374 4.1634
Ce 1.7503 -3.6846 4.1634
Ce 4.7279 3.6846 1.3878
Ce 5.0402 0.9374 1.3878
Ce 5.0402 -0.9374 4.1634
Ce 4.7279 -3.6846 4.1634
Ho 3.2391 2.1775 4.1634
Ho 3.2391 -2.1775 1.3878
In 3.2391 6.7770 1.3878
In 3.2391 -6.7770 4.1634
```

Summary:
V: 325.8 Å³ per cell
DFT total energy: -5.268 eV per atom
symmetry: Cmcm, No. 63
energy relative to the elements: -0.092 eV per atom

=====

[12]
This record from the Alexandria database describes an optimized crystal structure of CaPdW. The functional is GGA-PBE.

```
3
Lattice="0.0000 3.2139 3.2139 3.2139 0.0000 3.2139 3.2139 3.2139 0.0000" Properties=species:S:1:pos:R:3 pbc="T T T"
Ca 0.0000 0.0000 0.0000
Pd 1.6069 1.6069 1.6069
W 3.2139 3.2139 3.2139
```

Summary:
V: 66.4 Å³ per cell
energy relative to the lowest polymorph listed for this composition: 87.6 kJ/mol of atoms
DFT total energy: -5.824 eV per atom
symmetry: F-43m, No. 216
energy relative to the elements: 0.892 eV per atom